Density functional theory data (GGA+U) for a relaxed VCuPbF6 crystal.

Output
- Raw total energy: -5.2031 eV/atom
- Crystal system: trigonal
- Fermi-level density of states: 0.865 states/eV per atom

The structure in CIF format:
```
data_VCuPbF6
_cell_length_a 5.5679
_cell_length_b 5.5679
_cell_length_c 10.4456
_cell_angle_alpha 90.00
_cell_angle_beta 90.00
_cell_angle_gamma 120.00
_space_group_name_H-M_alt 'P -3 1 c'
_space_group_IT_number 163
_space_group_name_Hall '-P 3 2c'
loop_
_atom_site_label
_atom_site_type_symbol
_atom_site_fract_x
_atom_site_fract_y
_atom_site_fract_z
V1 V 0.3333 0.6667 0.2500
Cu1 Cu 0.3333 0.6667 0.7500
Pb1 Pb 0.0000 0.0000 0.0000
F1 F 0.0318 0.3759 0.1420
```